1.
A plane-wave DFT calculation with GGA-PBE was carried out for a relaxed DyMgTa crystal.

Output
energy of formation = 1.63 eV per formula unit
D(E_F) = 2.192 states/eV/f.u.
magnetic moment = 0.00 Bohr magnetons per cell
theoretical density = 7.6 g/cm³
raw total energy = -5.47 eV per atom
calculated volume = 161.4 Å³ per cell
space-group type = Fmmm (69)

abc: 5.123 4.656 8.498
angles: 80.45 72.46 56.62
Fractional coordinates of all 6 atoms:
Ta 0.163 0.673 0.000
Ta 0.837 0.327 0.000
Dy 0.397 0.000 0.205
Dy 0.603 0.000 0.795
Mg 0.750 0.500 0.500
Mg 0.250 0.500 0.500


2.
A plane-wave DFT calculation with GGA-PBE was carried out for a relaxed Tb2Dy5Mg crystal.

Output
energy of formation = -0.01 eV per formula unit
D(E_F) = 9.623 states/eV/f.u.
magnetic moment = 0.00 Bohr magnetons per cell
theoretical density = 7.8 g/cm³
raw total energy = -4.23 eV per atom
calculated volume = 491.8 Å³ per cell
offset from the most stable computed form = 0.0 kJ/mol of atoms
space-group type = P2_1/m (11)

abc: 9.120 11.106 16.126
angles: 90.00 90.00 162.48
Fractional coordinates of all 16 atoms:
Tb 0.080 0.289 0.522
Tb 0.920 0.711 0.478
Tb 0.080 0.289 0.978
Tb 0.920 0.711 0.022
Dy 0.885 0.943 0.355
Dy 0.115 0.057 0.855
Dy 0.115 0.057 0.645
Dy 0.034 0.517 0.389
Dy 0.988 0.244 0.750
Dy 0.966 0.483 0.611
Dy 0.966 0.483 0.889
Dy 0.012 0.756 0.250
Dy 0.034 0.517 0.111
Dy 0.885 0.943 0.145
Mg 0.870 0.185 0.250
Mg 0.130 0.815 0.750


3.
A plane-wave DFT calculation with GGA-PBE was carried out for a relaxed TbDyMg4 crystal.

Output
energy of formation = -0.43 eV per formula unit
D(E_F) = 7.189 states/eV/f.u.
magnetic moment = 0.00 Bohr magnetons per cell
theoretical density = 4.5 g/cm³
raw total energy = -2.67 eV per atom
calculated volume = 155.5 Å³ per cell
offset from the most stable computed form = 0.0 kJ/mol of atoms
space-group type = F-43m (216)

abc: 6.037 6.037 6.037
angles: 60.00 60.00 60.00
Fractional coordinates of all 6 atoms:
Mg 0.125 0.625 0.625
Mg 0.625 0.625 0.125
Mg 0.625 0.625 0.625
Mg 0.625 0.125 0.625
Dy 0.250 0.250 0.250
Tb 0.000 0.000 0.000


4.
A plane-wave DFT calculation with GGA-PBE was carried out for a relaxed Tb4Dy8Mg crystal.

Output
energy of formation = 2.48 eV per formula unit
D(E_F) = 16.798 states/eV/f.u.
magnetic moment = 0.00 Bohr magnetons per cell
theoretical density = 7.8 g/cm³
raw total energy = -4.19 eV per atom
calculated volume = 418.7 Å³ per cell
space-group type = R-3m (166)

abc: 7.129 7.129 10.364
angles: 90.00 110.12 120.00
Fractional coordinates of all 13 atoms:
Mg 0.000 0.500 0.500
Tb 0.000 0.500 0.000
Tb 0.000 0.000 0.000
Tb 0.500 0.500 0.000
Tb 0.500 0.000 0.000
Dy 0.037 0.254 0.291
Dy 0.492 0.746 0.709
Dy 0.963 0.746 0.709
Dy 0.037 0.783 0.291
Dy 0.575 0.788 0.363
Dy 0.508 0.254 0.291
Dy 0.963 0.217 0.709
Dy 0.425 0.212 0.637


5.
A plane-wave DFT calculation with GGA-PBE was carried out for a relaxed Tb2Dy2Mg15 crystal.

Output
energy of formation = 0.52 eV per formula unit
D(E_F) = 14.225 states/eV/f.u.
magnetic moment = 0.00 Bohr magnetons per cell
theoretical density = 3.5 g/cm³
raw total energy = -2.20 eV per atom
calculated volume = 483.2 Å³ per cell
space-group type = R-3m (166)

abc: 7.902 7.902 7.902
angles: 82.98 82.98 82.98
Fractional coordinates of all 19 atoms:
Mg 0.642 0.642 0.157
Mg 0.700 0.000 0.300
Mg 0.642 0.157 0.642
Mg 0.000 0.700 0.300
Mg 0.500 0.000 0.000
Mg 0.358 0.843 0.358
Mg 0.157 0.642 0.642
Mg 0.358 0.358 0.843
Mg 0.700 0.300 0.000
Mg 0.300 0.700 0.000
Mg 0.843 0.358 0.358
Mg 0.000 0.000 0.500
Mg 0.300 0.000 0.700
Mg 0.000 0.300 0.700
Mg 0.000 0.500 0.000
Tb 0.671 0.671 0.671
Tb 0.329 0.329 0.329
Dy 0.900 0.900 0.900
Dy 0.100 0.100 0.100


6.
A plane-wave DFT calculation with GGA-PBE was carried out for a relaxed Tb2DyMg crystal.

Output
energy of formation = -0.11 eV per formula unit
D(E_F) = 5.019 states/eV/f.u.
magnetic moment = 0.00 Bohr magnetons per cell
theoretical density = 7.0 g/cm³
raw total energy = -3.89 eV per atom
calculated volume = 119.0 Å³ per cell
offset from the most stable computed form = 0.0 kJ/mol of atoms
space-group type = P4/mmm (123)

abc: 3.594 3.594 9.212
angles: 90.00 90.00 90.00
Fractional coordinates of all 4 atoms:
Tb 0.000 0.000 0.765
Tb 0.000 0.000 0.235
Dy 0.500 0.500 0.500
Mg 0.500 0.500 0.000


7.
A plane-wave DFT calculation with GGA-PBE was carried out for a relaxed Tb4Dy5Mg2 crystal.

Output
energy of formation = 0.32 eV per formula unit
D(E_F) = 13.866 states/eV/f.u.
magnetic moment = 0.00 Bohr magnetons per cell
theoretical density = 7.4 g/cm³
raw total energy = -4.04 eV per atom
calculated volume = 335.6 Å³ per cell
offset from the most stable computed form = 0.0 kJ/mol of atoms
space-group type = P-1 (2)

abc: 3.476 11.464 13.644
angles: 140.94 97.30 89.97
Fractional coordinates of all 11 atoms:
Mg 0.415 0.358 0.818
Mg 0.585 0.642 0.182
Dy 0.178 0.279 0.356
Dy 0.822 0.721 0.644
Dy 0.500 0.000 0.000
Dy 0.261 0.881 0.526
Dy 0.739 0.119 0.474
Tb 0.634 0.457 0.270
Tb 0.039 0.793 0.079
Tb 0.366 0.543 0.730
Tb 0.961 0.207 0.921


8.
A plane-wave DFT calculation with GGA-PBE was carried out for a relaxed TbDyMg crystal.

Output
energy of formation = 1.06 eV per formula unit
D(E_F) = 4.329 states/eV/f.u.
magnetic moment = 0.00 Bohr magnetons per cell
theoretical density = 5.8 g/cm³
raw total energy = -3.25 eV per atom
calculated volume = 198.7 Å³ per cell
offset from the most stable computed form = 38.2 kJ/mol of atoms
space-group type = Pmmm (47)

abc: 6.370 6.370 5.391
angles: 90.00 90.00 65.30
Fractional coordinates of all 6 atoms:
Dy 0.750 0.250 0.500
Dy 0.250 0.750 0.500
Mg 0.250 0.250 0.500
Mg 0.750 0.750 0.500
Tb 0.000 0.500 0.000
Tb 0.500 0.000 0.000


9.
A plane-wave DFT calculation with GGA-PBE was carried out for a relaxed Tb7Dy3Mg2 crystal.

Output
energy of formation = 1.14 eV per formula unit
D(E_F) = 15.914 states/eV/f.u.
magnetic moment = 0.00 Bohr magnetons per cell
theoretical density = 7.3 g/cm³
raw total energy = -4.02 eV per atom
calculated volume = 374.4 Å³ per cell
space-group type = P2/m (10)

abc: 3.533 5.753 18.984
angles: 104.03 90.00 90.00
Fractional coordinates of all 12 atoms:
Tb 0.500 0.991 0.171
Tb 0.000 0.000 0.000
Tb 0.000 0.530 0.852
Tb 0.500 0.279 0.537
Tb 0.000 0.470 0.148
Tb 0.500 0.009 0.829
Tb 0.500 0.721 0.463
Dy 0.000 0.144 0.368
Dy 0.500 0.500 0.000
Dy 0.000 0.856 0.632
Mg 0.500 0.413 0.706
Mg 0.500 0.587 0.294


10.
A plane-wave DFT calculation with GGA-PBE was carried out for a relaxed Tb4Dy9Mg11 crystal.

Output
energy of formation = -0.66 eV per formula unit
D(E_F) = 27.665 states/eV/f.u.
magnetic moment = 0.00 Bohr magnetons per cell
theoretical density = 5.9 g/cm³
raw total energy = -3.26 eV per atom
calculated volume = 668.2 Å³ per cell
space-group type = Cmmm (65)

abc: 3.610 13.949 13.949
angles: 107.93 90.00 90.00
Fractional coordinates of all 24 atoms:
Mg 0.000 0.947 0.589
Mg 0.000 0.000 0.000
Mg 0.000 0.633 0.367
Mg 0.000 0.367 0.633
Mg 0.000 0.411 0.053
Mg 0.000 0.211 0.211
Mg 0.000 0.819 0.181
Mg 0.000 0.053 0.411
Mg 0.000 0.181 0.819
Mg 0.000 0.789 0.789
Mg 0.000 0.589 0.947
Dy 0.500 0.845 0.379
Dy 0.500 0.155 0.621
Dy 0.500 0.500 0.500
Dy 0.500 0.621 0.155
Dy 0.500 0.208 0.017
Dy 0.500 0.983 0.792
Dy 0.500 0.017 0.208
Dy 0.500 0.379 0.845
Dy 0.500 0.792 0.983
Tb 0.500 0.417 0.251
Tb 0.500 0.583 0.749
Tb 0.500 0.749 0.583
Tb 0.500 0.251 0.417


11.
A plane-wave DFT calculation with GGA-PBE was carried out for a relaxed Tb3Dy12Mg crystal.

Output
energy of formation = 0.31 eV per formula unit
D(E_F) = 20.485 states/eV/f.u.
magnetic moment = 0.00 Bohr magnetons per cell
theoretical density = 8.2 g/cm³
raw total energy = -4.40 eV per atom
calculated volume = 497.5 Å³ per cell
space-group type = P4/mmm (123)

abc: 4.987 4.987 20.002
angles: 90.00 90.00 90.00
Fractional coordinates of all 16 atoms:
Dy 0.000 0.500 0.877
Dy 0.500 0.500 0.500
Dy 0.500 0.500 0.754
Dy 0.500 0.500 0.000
Dy 0.500 0.000 0.877
Dy 0.000 0.500 0.123
Dy 0.500 0.000 0.626
Dy 0.500 0.500 0.246
Dy 0.000 0.500 0.374
Dy 0.500 0.000 0.374
Dy 0.500 0.000 0.123
Dy 0.000 0.500 0.626
Tb 0.000 0.000 0.248
Tb 0.000 0.000 0.752
Tb 0.000 0.000 0.500
Mg 0.000 0.000 0.000


12.
A plane-wave DFT calculation with GGA-PBE was carried out for a relaxed Tb3Dy2Mg2 crystal.

Output
energy of formation = 0.38 eV per formula unit
D(E_F) = 8.312 states/eV/f.u.
magnetic moment = 0.00 Bohr magnetons per cell
theoretical density = 6.7 g/cm³
raw total energy = -3.70 eV per atom
calculated volume = 209.2 Å³ per cell
space-group type = Cmmm (65)

abc: 3.740 3.646 15.454
angles: 90.00 96.95 90.00
Fractional coordinates of all 7 atoms:
Tb 0.000 0.000 0.000
Tb 0.421 0.500 0.842
Tb 0.579 0.500 0.158
Dy 0.296 0.500 0.592
Dy 0.704 0.500 0.408
Mg 0.142 0.000 0.284
Mg 0.858 0.000 0.716


13.
A plane-wave DFT calculation with GGA-PBE was carried out for a relaxed Tb12DyMg3 crystal.

Output
energy of formation = 0.33 eV per formula unit
D(E_F) = 26.859 states/eV/f.u.
magnetic moment = 0.00 Bohr magnetons per cell
theoretical density = 7.3 g/cm³
raw total energy = -4.04 eV per atom
calculated volume = 484.8 Å³ per cell
space-group type = P4/mmm (123)

abc: 4.941 4.941 19.858
angles: 90.00 90.00 90.00
Fractional coordinates of all 16 atoms:
Tb 0.500 0.500 0.746
Tb 0.500 0.000 0.377
Tb 0.500 0.000 0.128
Tb 0.500 0.000 0.872
Tb 0.500 0.000 0.623
Tb 0.000 0.500 0.377
Tb 0.500 0.500 0.254
Tb 0.500 0.500 0.000
Tb 0.000 0.500 0.128
Tb 0.500 0.500 0.500
Tb 0.000 0.500 0.872
Tb 0.000 0.500 0.623
Mg 0.000 0.000 0.254
Mg 0.000 0.000 0.500
Mg 0.000 0.000 0.746
Dy 0.000 0.000 0.000


14.
A plane-wave DFT calculation with GGA-PBE was carried out for a relaxed Tb7Dy2Mg2 crystal.

Output
energy of formation = 0.17 eV per formula unit
D(E_F) = 16.336 states/eV/f.u.
magnetic moment = 0.00 Bohr magnetons per cell
theoretical density = 7.4 g/cm³
raw total energy = -4.06 eV per atom
calculated volume = 335.6 Å³ per cell
offset from the most stable computed form = 0.0 kJ/mol of atoms
space-group type = P-1 (2)

abc: 9.213 9.274 9.283
angles: 148.72 92.77 70.06
Fractional coordinates of all 11 atoms:
Tb 0.181 0.681 0.457
Tb 0.638 0.136 0.089
Tb 0.457 0.949 0.636
Tb 0.819 0.319 0.543
Tb 0.543 0.051 0.364
Tb 0.000 0.500 0.000
Tb 0.362 0.864 0.911
Dy 0.275 0.767 0.185
Dy 0.725 0.233 0.815
Mg 0.088 0.595 0.730
Mg 0.912 0.405 0.270


15.
A plane-wave DFT calculation with GGA-PBE was carried out for a relaxed Tb5Dy2Mg crystal.

Output
energy of formation = 0.72 eV per formula unit
D(E_F) = 11.501 states/eV/f.u.
magnetic moment = 0.00 Bohr magnetons per cell
theoretical density = 7.5 g/cm³
raw total energy = -4.15 eV per atom
calculated volume = 503.3 Å³ per cell
offset from the most stable computed form = 7.1 kJ/mol of atoms
space-group type = P-1 (2)

abc: 8.104 6.180 18.978
angles: 62.10 135.48 130.96
Fractional coordinates of all 16 atoms:
Tb 0.473 0.935 0.414
Tb 0.234 0.467 0.749
Tb 0.527 0.065 0.586
Tb 0.766 0.533 0.251
Tb 0.462 0.935 0.086
Tb 0.111 0.201 0.160
Tb 0.538 0.065 0.914
Tb 0.091 0.203 0.340
Tb 0.889 0.799 0.840
Tb 0.909 0.797 0.660
Dy 0.170 0.361 0.524
Dy 0.191 0.361 0.977
Dy 0.830 0.639 0.476
Dy 0.809 0.639 0.023
Mg 0.409 0.819 0.250
Mg 0.591 0.181 0.750


16.
A plane-wave DFT calculation with GGA-PBE was carried out for a relaxed Tb5Dy2Mg crystal.

Output
energy of formation = 0.13 eV per formula unit
D(E_F) = 7.423 states/eV/f.u.
magnetic moment = 0.00 Bohr magnetons per cell
theoretical density = 7.7 g/cm³
raw total energy = -4.23 eV per atom
calculated volume = 245.2 Å³ per cell
offset from the most stable computed form = 0.0 kJ/mol of atoms
space-group type = I4/mmm (139)

abc: 7.034 7.034 7.021
angles: 120.05 120.06 90.01
Fractional coordinates of all 8 atoms:
Mg 0.222 0.222 0.445
Tb 0.722 0.722 0.944
Tb 0.222 0.222 0.945
Tb 0.222 0.722 0.944
Tb 0.722 0.722 0.444
Tb 0.722 0.222 0.944
Dy 0.722 0.222 0.444
Dy 0.222 0.722 0.444


17.
A plane-wave DFT calculation with GGA-PBE was carried out for a relaxed Tb6DyMg crystal.

Output
energy of formation = 1.04 eV per formula unit
D(E_F) = 11.672 states/eV/f.u.
magnetic moment = 0.00 Bohr magnetons per cell
theoretical density = 7.5 g/cm³
raw total energy = -4.12 eV per atom
calculated volume = 252.2 Å³ per cell
offset from the most stable computed form = 10.4 kJ/mol of atoms
space-group type = P-1 (2)

abc: 8.525 9.433 6.358
angles: 42.05 47.83 56.27
Fractional coordinates of all 8 atoms:
Mg 0.000 0.000 0.000
Tb 0.044 0.514 0.196
Tb 0.485 0.245 0.314
Tb 0.515 0.755 0.686
Tb 0.245 0.044 0.224
Tb 0.755 0.956 0.776
Tb 0.956 0.486 0.804
Dy 0.500 0.500 0.500


18.
A plane-wave DFT calculation with GGA-PBE was carried out for a relaxed TbDy3Mg2 crystal.

Output
energy of formation = -0.24 eV per formula unit
D(E_F) = 7.880 states/eV/f.u.
magnetic moment = 0.00 Bohr magnetons per cell
theoretical density = 6.7 g/cm³
raw total energy = -3.64 eV per atom
calculated volume = 172.7 Å³ per cell
space-group type = P4/mmm (123)

abc: 3.663 3.663 12.871
angles: 90.00 90.00 90.00
Fractional coordinates of all 6 atoms:
Tb 0.500 0.500 0.500
Mg 0.500 0.500 0.154
Mg 0.500 0.500 0.846
Dy 0.000 0.000 0.000
Dy 0.000 0.000 0.311
Dy 0.000 0.000 0.689


19.
A plane-wave DFT calculation with GGA-PBE was carried out for a relaxed Tb8Dy4Mg crystal.

Output
energy of formation = 2.46 eV per formula unit
D(E_F) = 16.814 states/eV/f.u.
magnetic moment = 0.00 Bohr magnetons per cell
theoretical density = 7.7 g/cm³
raw total energy = -4.20 eV per atom
calculated volume = 420.9 Å³ per cell
space-group type = R-3m (166)

abc: 7.122 7.122 10.426
angles: 90.00 109.97 120.00
Fractional coordinates of all 13 atoms:
Tb 0.508 0.254 0.289
Tb 0.492 0.746 0.711
Tb 0.574 0.787 0.361
Tb 0.965 0.746 0.711
Tb 0.035 0.254 0.289
Tb 0.035 0.781 0.289
Tb 0.965 0.219 0.711
Tb 0.426 0.213 0.639
Dy 0.500 0.000 0.000
Dy 0.500 0.500 0.000
Dy 0.000 0.000 0.000
Dy 0.000 0.500 0.000
Mg 0.000 0.500 0.500


20.
A plane-wave DFT calculation with GGA-PBE was carried out for a relaxed TbDyMg6 crystal.

Output
energy of formation = -0.56 eV per formula unit
D(E_F) = 8.289 states/eV/f.u.
magnetic moment = 0.00 Bohr magnetons per cell
theoretical density = 3.9 g/cm³
raw total energy = -2.42 eV per atom
calculated volume = 200.9 Å³ per cell
space-group type = Amm2 (38)

abc: 5.179 6.692 6.692
angles: 119.95 90.00 90.00
Fractional coordinates of all 8 atoms:
Dy 0.500 0.416 0.584
Mg 0.500 0.913 0.087
Mg 0.000 0.587 0.924
Mg 0.500 0.912 0.576
Mg 0.000 0.076 0.413
Mg 0.500 0.424 0.088
Mg 0.000 0.587 0.413
Tb 0.000 0.084 0.916


21.
A plane-wave DFT calculation with GGA-PBE was carried out for a relaxed Tb5Dy2Mg2 crystal.

Output
energy of formation = 0.12 eV per formula unit
D(E_F) = 10.753 states/eV/f.u.
magnetic moment = 0.00 Bohr magnetons per cell
theoretical density = 7.2 g/cm³
raw total energy = -3.94 eV per atom
calculated volume = 270.1 Å³ per cell
space-group type = P-1 (2)

abc: 3.557 8.480 13.564
angles: 129.77 113.19 89.99
Fractional coordinates of all 9 atoms:
Tb 0.314 0.214 0.543
Tb 0.000 0.000 0.000
Tb 0.686 0.786 0.457
Tb 0.320 0.538 0.880
Tb 0.680 0.462 0.120
Dy 0.997 0.334 0.331
Dy 0.003 0.666 0.669
Mg 0.321 0.882 0.215
Mg 0.679 0.118 0.785